No. 1
Computed, not measured: an optimized crystal structure of Ca3Al9Rh2 at the PBE level of DFT.

Output
- formation energy from the elements (eV per atom) = -0.486

Cell: 4.3470 8.2283 8.2283 Å, 74.34 74.68 74.68°
Fractional coordinates of all 14 atoms:
Al 0.1255 0.5902 0.1587
Al 0.3511 0.2888 0.0090
Al 0.8745 0.4098 0.8413
Al 0.0000 0.5000 0.5000
Al 0.1255 0.1587 0.5902
Al 0.6489 0.9910 0.7112
Al 0.3511 0.0090 0.2888
Al 0.8745 0.8413 0.4098
Al 0.6489 0.7112 0.9910
Ca 0.2959 0.7041 0.7041
Ca 0.7041 0.2959 0.2959
Ca 0.0000 0.0000 0.0000
Rh 0.5000 0.3209 0.6791
Rh 0.5000 0.6791 0.3209



No. 2
Computed, not measured: an optimized crystal structure of CsY2Pt at the PBE level of DFT.

Output
- formation energy from the elements (eV per atom) = 0.121

Cell: 5.3260 5.3260 5.3260 Å, 60.00 60.00 60.00°
Fractional coordinates of all 4 atoms:
Y 0.7500 0.7500 0.7500
Y 0.2500 0.2500 0.2500
Cs 0.0000 0.0000 0.0000
Pt 0.5000 0.5000 0.5000



No. 3
Computed, not measured: an optimized crystal structure of Rb2LiOs2 at the PBE level of DFT.

Output
- formation energy from the elements (eV per atom) = 1.333

Cell: 6.6071 6.6071 5.8754 Å, 90.00 90.00 90.00°
Each line ends with the local moment (μB).
Fractional coordinates of all 10 atoms:
Os 0.1220 0.3780 0.0000  0.38
Os 0.3780 0.8780 0.0000  0.31
Os 0.8780 0.6220 0.0000  0.38
Os 0.6220 0.1220 0.0000  0.31
Rb 0.3197 0.1803 0.5000  0.00
Rb 0.1803 0.6803 0.5000  0.00
Rb 0.8197 0.3197 0.5000  0.00
Rb 0.6803 0.8197 0.5000  0.00
Li 0.5000 0.5000 0.0000  0.05
Li 0.0000 0.0000 0.0000  0.05



No. 4
Computed, not measured: an optimized crystal structure of La3Tm2Hg3 at the PBE level of DFT.

Output
- formation energy from the elements (eV per atom) = -0.364

Cell: 3.7862 5.5512 11.8576 Å, 103.54 99.19 90.00°
Each line ends with the local moment (μB).
Fractional coordinates of all 8 atoms:
Tm 0.2652 0.7652 0.5304  0.01
Tm 0.7348 0.2348 0.4696  0.01
Hg 0.1283 0.1283 0.2566  0.00
Hg 0.8717 0.8717 0.7434  0.00
Hg 0.0000 0.5000 0.0000  0.01
La 0.3768 0.3768 0.7536  0.03
La 0.5000 0.0000 0.0000  0.07
La 0.6232 0.6232 0.2464  0.03



| no. | DFT total energy (eV/atom) |
| --- | --- |
| 1 | -4.371 |
| 2 | -4.835 |
| 3 | -3.929 |
| 4 | -3.443 |